DFT (PBE) results for a geometry-optimized Tm2NbTl structure.

The value obtained for the total energy is -58.72 eV/cell.

It has space group R-3m (No. 166, hexagonal axes), with a = 3.2506 Å, b = 3.2506 Å, c = 33.8028 Å, α = 90.00°, β = 90.00° and γ = 120.00°. The asymmetric unit holds Tm at (0.0000, 0.0000, 0.0863), Nb at (0.0000, 0.0000, 0.0000) and Tl at (0.0000, 0.0000, 0.5000).

***

DFT (PBE) results for a geometry-optimized Fe3Hg2 structure.

The energy above the most stable polymorph in this dataset comes out at 0.088 eV/atom.

It has space group R-3m (No. 166, hexagonal axes), with a = 2.9514 Å, b = 2.9514 Å, c = 32.3296 Å, α = 90.00°, β = 90.00° and γ = 120.00°. The asymmetric unit holds Fe at (0.0000, 0.0000, 0.0000), Fe at (0.0000, 0.0000, 0.1924) and Hg at (0.0000, 0.0000, 0.4033).

***

DFT (PBE) results for a geometry-optimized Pr4NdDy2Er structure.

The value obtained for the total energy is -37.55 eV/cell.

It has space group Pmmm (No. 47), with a = 5.1555 Å, b = 5.1901 Å, c = 10.1907 Å, α = 90.00°, β = 90.00° and γ = 90.00°. The asymmetric unit holds Pr at (0.0000, 0.0000, 0.2473), Pr at (0.5000, 0.5000, 0.2471), Nd at (0.0000, 0.5000, 0.5000), Dy at (0.0000, 0.5000, 0.0000), Dy at (0.5000, 0.0000, 0.5000) and Er at (0.5000, 0.0000, 0.0000).

***

DFT (PBE) results for a geometry-optimized CaReW2 structure.

The energy above the most stable polymorph in this dataset comes out at 0.199 eV/atom.

It has space group Imm2 (No. 44), with a = 3.1093 Å, b = 4.8450 Å, c = 9.4473 Å, α = 90.00°, β = 90.00° and γ = 90.00°. The asymmetric unit holds Ca at (0.0000, 0.0000, 0.0000), Re at (0.0000, 0.5000, 0.7673), W at (0.0000, 0.0000, 0.4904) and W at (0.0000, 0.5000, 0.2277).

***

DFT (PBE) results for a geometry-optimized Pr2DyCrN4 structure.

The formation energy (no corrections) comes out at -7.668 eV/f.u.

It has space group Cmcm (No. 63), with a = 3.4466 Å, b = 11.7987 Å, c = 12.3361 Å, α = 90.00°, β = 90.00° and γ = 90.00°. The asymmetric unit holds Pr at (0.0000, 0.1334, 0.0416), Dy at (0.0000, 0.3802, 0.2500), Cr at (0.0000, 0.3380, 0.7500), N at (0.0000, 0.0836, 0.2500), N at (0.0000, 0.2247, 0.6424) and N at (0.0000, 0.5000, 0.0000).

***

DFT (PBE) results for a geometry-optimized Zr2InFeH structure.

The value obtained for the total energy is -32.73 eV/cell.

It has space group P4/mmm (No. 123), with a = 4.5708 Å, b = 4.5708 Å, c = 3.8237 Å, α = 90.00°, β = 90.00° and γ = 90.00°. The asymmetric unit holds Zr at (0.0000, 0.5000, 0.0000), In at (0.0000, 0.0000, 0.5000), Fe at (0.5000, 0.5000, 0.5000) and H at (0.5000, 0.5000, 0.0000).

***

DFT (PBE) results for a geometry-optimized Ac3Sm2In3 structure.

The value obtained for the total energy is -64.83 eV/cell.

It has space group Immm (No. 71), with a = 4.5294 Å, b = 5.4300 Å, c = 22.2937 Å, α = 90.00°, β = 90.00° and γ = 90.00°. The asymmetric unit holds Ac at (0.0000, 0.0000, 0.0000), Ac at (0.0000, 0.5000, 0.1222), Sm at (0.0000, 0.0000, 0.2354), In at (0.0000, 0.0000, 0.5000) and In at (0.0000, 0.5000, 0.3671).

***

DFT (PBE) results for a geometry-optimized Rb2CeTlF6 structure.

The formation energy (no corrections) comes out at -30.524 eV/f.u.

It has space group P2_1/c (No. 14), with a = 6.7639 Å, b = 7.0061 Å, c = 11.6675 Å, α = 90.00°, β = 124.39° and γ = 90.00°. The asymmetric unit holds Rb at (0.2272, 0.0492, 0.2445), Ce at (0.5000, 0.0000, 0.0000), Tl at (0.0000, 0.0000, 0.5000), F at (0.1747, 0.1797, 0.9505), F at (0.2525, 0.7347, 0.9260) and F at (0.3930, 0.0617, 0.7771).

***

DFT (PBE) results for a geometry-optimized Th2ScSi3Ir4 structure.

The formation energy (no corrections) comes out at -10.483 eV/f.u.

It has space group P-4m2 (No. 115), with a = 4.1245 Å, b = 4.1245 Å, c = 10.7856 Å, α = 90.00°, β = 90.00° and γ = 90.00°. The asymmetric unit holds Th at (0.0000, 0.5000, 0.2380), Sc at (0.0000, 0.0000, 0.5000), Si at (0.0000, 0.5000, 0.8773), Si at (0.5000, 0.5000, 0.5000), Ir at (0.0000, 0.0000, 0.0000), Ir at (0.0000, 0.5000, 0.6528) and Ir at (0.5000, 0.5000, 0.0000).

***

DFT (PBE) results for a geometry-optimized ZrCrCl2 structure.

The formation energy (no corrections) comes out at -2.753 eV/f.u. The energy above the most stable polymorph in this dataset comes out at 0.000 eV/atom.

It has space group R3m (No. 160, hexagonal axes), with a = 3.3264 Å, b = 3.3264 Å, c = 27.6141 Å, α = 90.00°, β = 90.00° and γ = 120.00°. The asymmetric unit holds Zr at (0.0000, 0.0000, 0.0000), Cr at (0.0000, 0.0000, 0.7470), Cl at (0.0000, 0.0000, 0.2688) and Cl at (0.0000, 0.0000, 0.4693).

***

DFT (PBE) results for a geometry-optimized AsAuSe2 structure.

The formation energy (no corrections) comes out at 1.831 eV/f.u.

It has space group Cmmm (No. 65), with a = 7.7103 Å, b = 7.7205 Å, c = 2.7779 Å, α = 90.00°, β = 90.00° and γ = 90.00°. The asymmetric unit holds As at (0.0000, 0.0000, 0.0000), Au at (0.0000, 0.5000, 0.0000) and Se at (0.2500, 0.2500, 0.5000).

***

DFT (PBE) results for a geometry-optimized Ca2La5Nd4 structure.

The value obtained for the total energy is -92.09 eV/cell.

It has space group Immm (No. 71), with a = 3.5828 Å, b = 12.0531 Å, c = 19.1608 Å, α = 90.00°, β = 90.00° and γ = 90.00°. The asymmetric unit holds Ca at (0.0000, 0.0000, 0.1944), La at (0.0000, 0.2916, 0.1788), La at (0.0000, 0.5000, 0.5000), Nd at (0.0000, 0.0000, 0.4129) and Nd at (0.0000, 0.2674, 0.0000).

***

DFT (PBE) results for a geometry-optimized NaLiSc2Cl8 structure.

The formation energy (no corrections) comes out at -23.793 eV/f.u.

It has space group P2/m (No. 10), with a = 6.3162 Å, b = 7.6310 Å, c = 6.3903 Å, α = 90.00°, β = 96.59° and γ = 90.00°. The asymmetric unit holds Na at (0.0000, 0.0000, 0.0000), Li at (0.0000, 0.5000, 0.0000), Sc at (0.5000, 0.2539, 0.5000), Cl at (0.2167, 0.2651, 0.2026), Cl at (0.3114, 0.5000, 0.6729) and Cl at (0.3162, 0.0000, 0.6683).

***

DFT (PBE) results for a geometry-optimized Sr3TlO structure.

The formation energy (no corrections) comes out at -6.333 eV/f.u.

It has space group P-1 (No. 2), with a = 6.4048 Å, b = 7.3686 Å, c = 7.3941 Å, α = 62.04°, β = 80.23° and γ = 79.65°. The asymmetric unit holds Sr at (0.1820, 0.1612, 0.1591), Sr at (0.2824, 0.1497, 0.6816), Sr at (0.2880, 0.6823, 0.1482), Tl at (0.2623, 0.6502, 0.6431), O at (0.0000, 0.0000, 0.0000) and O at (0.5000, 0.0000, 0.0000).

***

DFT (PBE) results for a geometry-optimized HfSbPdRu2 structure.

The formation energy (no corrections) comes out at 4.390 eV/f.u.

It has space group P4/mmm (No. 123), with a = 4.7635 Å, b = 4.7635 Å, c = 4.7326 Å, α = 90.00°, β = 90.00° and γ = 90.00°. The asymmetric unit holds Hf at (0.0000, 0.0000, 0.0000), Sb at (0.5000, 0.5000, 0.5000), Pd at (0.5000, 0.5000, 0.0000) and Ru at (0.0000, 0.5000, 0.5000).

***

DFT (PBE) results for a geometry-optimized W2Au structure.

The energy above the most stable polymorph in this dataset comes out at 0.040 eV/atom.

It has space group I4/mmm (No. 139), with a = 2.7241 Å, b = 2.7241 Å, c = 13.4155 Å, α = 90.00°, β = 90.00° and γ = 90.00°. The asymmetric unit holds W at (0.0000, 0.0000, 0.1665) and Au at (0.0000, 0.0000, 0.5000).

***

DFT (PBE) results for a geometry-optimized LiHo2PaS6 structure.

The formation energy (no corrections) comes out at -13.928 eV/f.u.

It has space group P4mm (No. 99), with a = 6.3384 Å, b = 6.3384 Å, c = 6.4025 Å, α = 90.00°, β = 90.00° and γ = 90.00°. The asymmetric unit holds Li at (0.0000, 0.0000, 0.0000), Ho at (0.0000, 0.5000, 0.4459), Pa at (0.5000, 0.5000, 0.0503), S at (0.0000, 0.0000, 0.6344), S at (0.2401, 0.2401, 0.2085) and S at (0.5000, 0.5000, 0.6367).

***

DFT (PBE) results for a geometry-optimized Ba2SbPd2 structure.

The formation energy (no corrections) comes out at -2.648 eV/f.u. The energy above the most stable polymorph in this dataset comes out at 0.212 eV/atom.

It has space group I4/mmm (No. 139), with a = 3.9880 Å, b = 3.9880 Å, c = 19.2980 Å, α = 90.00°, β = 90.00° and γ = 90.00°. The asymmetric unit holds Ba at (0.0000, 0.0000, 0.1179), Sb at (0.0000, 0.0000, 0.5000) and Pd at (0.0000, 0.5000, 0.2500).

***

DFT (PBE) results for a geometry-optimized K3CeP2O8 structure.

The formation energy (no corrections) comes out at -35.356 eV/f.u. The energy above the most stable polymorph in this dataset comes out at 0.024 eV/atom.

It has space group P-3m1 (No. 164), with a = 5.8268 Å, b = 5.8268 Å, c = 7.8900 Å, α = 90.00°, β = 90.00° and γ = 120.00°. The asymmetric unit holds K at (0.0000, 0.0000, 0.0000), K at (0.3333, 0.6667, 0.7332), Ce at (0.0000, 0.0000, 0.5000), P at (0.3333, 0.6667, 0.2487), O at (0.1880, 0.3761, 0.3211) and O at (0.3333, 0.6667, 0.0565).

***

DFT (PBE) results for a geometry-optimized Li4Y3Si4 structure.

The formation energy (no corrections) comes out at -6.236 eV/f.u.

It has space group Immm (No. 71), with a = 4.2886 Å, b = 6.6114 Å, c = 14.2178 Å, α = 90.00°, β = 90.00° and γ = 90.00°. The asymmetric unit holds Li at (0.0000, 0.1908, 0.1715), Y at (0.0000, 0.0000, 0.3708), Y at (0.0000, 0.5000, 0.5000), Si at (0.0000, 0.3190, 0.0000) and Si at (0.0000, 0.5000, 0.2867).

***

DFT (PBE) results for a geometry-optimized Pm5Ge5Rh2 structure.

The value obtained for the total energy is -142.20 eV/cell.

It has space group C2/m (No. 12), with a = 15.3779 Å, b = 4.2902 Å, c = 11.2677 Å, α = 90.00°, β = 131.03° and γ = 90.00°. The asymmetric unit holds Pm at (0.0000, 0.0000, 0.0000), Pm at (0.1158, 0.0000, 0.4210), Pm at (0.1974, 0.0000, 0.8249), Ge at (0.0000, 0.5000, 0.5000), Ge at (0.0578, 0.5000, 0.8379), Ge at (0.2466, 0.5000, 0.6928) and Rh at (0.1454, 0.5000, 0.2592).

***

DFT (PBE) results for a geometry-optimized CuP4Os structure.

The value obtained for the total energy is -124.25 eV/cell.

It has space group F-43m (No. 216), with a = 6.9375 Å, b = 6.9375 Å, c = 6.9375 Å, α = 90.00°, β = 90.00° and γ = 90.00°. The asymmetric unit holds Cu at (0.0000, 0.0000, 0.0000), P at (0.1265, 0.1265, 0.6265) and Os at (0.2500, 0.2500, 0.2500).

***

DFT (PBE) results for a geometry-optimized CsRb3Sb structure.

The formation energy (no corrections) comes out at -1.141 eV/f.u. The energy above the most stable polymorph in this dataset comes out at 0.000 eV/atom.

It has space group Cmcm (No. 63), with a = 6.3155 Å, b = 27.6485 Å, c = 6.2587 Å, α = 90.00°, β = 90.00° and γ = 90.00°. The asymmetric unit holds Cs at (0.0000, 0.1719, 0.2500), Rb at (0.0000, 0.0739, 0.7500), Rb at (0.0000, 0.2501, 0.7500), Rb at (0.0000, 0.4237, 0.7500) and Sb at (0.0000, 0.3326, 0.2500).

***

DFT (PBE) results for a geometry-optimized LiCuRu2 structure.

The energy above the most stable polymorph in this dataset comes out at 0.017 eV/atom.

It has space group Cm (No. 8), with a = 8.6397 Å, b = 2.6473 Å, c = 4.6845 Å, α = 90.00°, β = 97.70° and γ = 90.00°. The asymmetric unit holds Li at (0.0000, 0.0000, 0.0000), Cu at (0.2512, 0.5000, 0.1872), Ru at (0.2398, 0.0000, 0.6871) and Ru at (0.4924, 0.0000, 0.5009).